# HgP2Se, relaxed, DFT PBE
data_HgP2Se
_space_group_name_H-M_alt 'P 1'
_space_group_IT_number 1
_cell_length_a 2.7089
_cell_length_b 5.1102
_cell_length_c 6.9734
_cell_angle_alpha 90.00
_cell_angle_beta 90.80
_cell_angle_gamma 90.00
loop_
_space_group_symop_operation_xyz
'x,y,z'
loop_
_atom_site_label
_atom_site_type_symbol
_atom_site_fract_x
_atom_site_fract_y
_atom_site_fract_z
Hg1 Hg 0.0000 0.0000 0.0000
P1 P 0.0059 0.5000 0.6527
P2 P 0.9941 0.5000 0.3473
Se1 Se 0.0000 0.0000 0.5000
# density: 5.9 g cm⁻³
# uncorrected energy: -3.332 eV per atom
# D(E_F): 1.1 states/eV/cell
# space-group type: P2/m, No. 10
# formation energy without anion corrections: 319 meV per atom
# crystal system: monoclinic
# distance to the lowest polymorph of the same formula: 200 meV/atom